1.
{"formula": "Tm6Cd3Au", "functional": "PBE-GGA", "state": "optimized geometry", "magmom_total_mub_per_cell": 0.000, "spacegroup": "No. 11", "formation_energy_mev_per_atom": -326, "rho_g_cm3": 10.0, "lattice": [[5.1817, 0.0000, 0.0000], [0.0000, 8.6972, -3.0542], [0.0000, -0.1611, 11.5098]], "species": ["Tm", "Tm", "Tm", "Tm", "Tm", "Tm", "Tm", "Tm", "Tm", "Tm", "Tm", "Tm", "Cd", "Cd", "Cd", "Cd", "Cd", "Cd", "Au", "Au"], "frac_coords": [[0.2500, 0.4700, 0.0899], [0.7500, 0.5300, 0.9101], [0.2500, 0.1258, 0.1547], [0.7500, 0.8742, 0.8453], [0.2500, 0.6628, 0.6797], [0.7500, 0.3372, 0.3203], [0.2500, 0.2477, 0.4901], [0.7500, 0.7523, 0.5099], [0.2500, 0.8629, 0.3362], [0.7500, 0.1371, 0.6638], [0.2500, 0.1112, 0.8643], [0.7500, 0.8888, 0.1357], [0.2500, 0.5304, 0.3762], [0.7500, 0.4696, 0.6238], [0.2500, 0.3881, 0.7781], [0.7500, 0.6119, 0.2219], [0.2500, 0.7690, 0.9764], [0.7500, 0.2310, 0.0236], [0.2500, 0.9299, 0.6085], [0.7500, 0.0701, 0.3915]]}

***

2.
{"formula": "Na2HgH6Ir", "functional": "PBE-GGA", "state": "optimized geometry", "magmom_total_mub_per_cell": 0.000, "e_tot_ev_per_atom": -3.33, "spacegroup": "No. 164", "rho_g_cm3": 5.4, "lattice": [[6.0774, 0.0000, 0.0000], [0.0000, 5.0883, 0.0000], [0.0000, -2.5442, 4.4066]], "species": ["Na", "Na", "Hg", "H", "H", "H", "H", "H", "H", "Ir"], "frac_coords": [[0.1530, 0.3333, 0.6667], [0.8470, 0.6667, 0.3333], [0.5000, 0.0000, 0.0000], [0.8559, 0.1633, 0.3266], [0.8559, 0.1633, 0.8367], [0.8559, 0.6734, 0.8367], [0.1441, 0.8367, 0.1633], [0.1441, 0.3266, 0.1633], [0.1441, 0.8367, 0.6734], [0.0000, 0.0000, 0.0000]]}

***

3.
{"formula": "SmTcP2Ir", "functional": "PBE-GGA", "state": "optimized geometry", "magmom_total_mub_per_cell": 0.000, "spacegroup": "No. 119", "formation_energy_mev_per_atom": -950, "rho_g_cm3": 10.1, "lattice": [[4.1044, 0.0000, 0.0000], [0.0000, 4.1044, 0.0000], [-2.0522, -2.0522, 4.9265]], "species": ["Sm", "Tc", "P", "P", "Ir"], "frac_coords": [[0.0000, 0.0000, 0.0000], [0.7500, 0.2500, 0.5000], [0.6275, 0.6275, 0.2550], [0.3725, 0.3725, 0.7450], [0.2500, 0.7500, 0.5000]]}

***

4.
{"formula": "Cs3BaLa2Se6", "functional": "PBE-GGA", "state": "optimized geometry", "magmom_total_mub_per_cell": 0.000, "formation_energy_uncorrected_ev_per_atom": -1.636, "spacegroup": "No. 12", "rho_g_cm3": 4.6, "lattice": [[8.0067, -0.0016, -0.0009], [-4.0028, 6.9343, -0.0009], [-1.3365, -2.3141, 8.3644]], "species": ["Cs", "Cs", "Cs", "Ba", "La", "La", "Se", "Se", "Se", "Se", "Se", "Se"], "frac_coords": [[0.1615, 0.8385, 0.5000], [0.8385, 0.1615, 0.5000], [0.5000, 0.5000, 0.5000], [0.0000, 0.0000, 0.0000], [0.3327, 0.6673, 0.0000], [0.6673, 0.3327, 0.0000], [0.9344, 0.5770, 0.8043], [0.7073, 0.7073, 0.1934], [0.0656, 0.4230, 0.1957], [0.5770, 0.9344, 0.8043], [0.2927, 0.2927, 0.8066], [0.4230, 0.0656, 0.1957]]}

***

5.
{"formula": "YBeIr", "functional": "PBE-GGA", "state": "optimized geometry", "magmom_total_mub_per_cell": 0.000, "spacegroup": "No. 216", "formation_energy_mev_per_atom": -252, "rho_g_cm3": 9.0, "lattice": [[-2.9973, -2.4183, -1.7365], [-0.0199, -4.1666, 0.6979], [-2.9971, -1.7204, 2.4301]], "species": ["Y", "Be", "Ir"], "frac_coords": [[0.5000, 0.5000, 0.5000], [0.7500, 0.7500, 0.7500], [0.0000, 0.0000, 0.0000]]}

***

6.
{"formula": "LaScCd", "functional": "PBE-GGA", "state": "optimized geometry", "magmom_total_mub_per_cell": 0.000, "spacegroup": "No. 216", "formation_energy_mev_per_atom": 294, "rho_g_cm3": 5.5, "lattice": [[-4.7908, -0.3539, -1.4076], [-3.2652, 3.5583, 1.3174], [-1.8298, 3.1224, -3.4584]], "species": ["Sc", "Cd", "La"], "frac_coords": [[0.0000, 0.0000, 0.0000], [0.7500, 0.7500, 0.7500], [0.2500, 0.2500, 0.2500]]}

***

7.
{"formula": "TlCoCl", "functional": "PBE-GGA", "state": "optimized geometry", "magmom_total_mub_per_cell": 1.879, "formation_energy_uncorrected_ev_per_atom": 0.173, "spacegroup": "No. 42", "rho_g_cm3": 7.4, "lattice": [[-2.1820, 5.9623, 3.3661], [-0.8032, 4.2364, 5.6366], [2.3670, 2.0601, -0.4342]], "species": ["Tl", "Co", "Cl"], "frac_coords": [[0.6967, 0.6967, 0.3033], [0.3638, 0.3638, 0.6362], [0.9395, 0.9395, 0.0605]]}

***

8.
{"formula": "MgAuBr", "functional": "PBE-GGA", "state": "optimized geometry", "magmom_total_mub_per_cell": 0.000, "formation_energy_uncorrected_ev_per_atom": -0.704, "spacegroup": "No. 156", "rho_g_cm3": 6.7, "lattice": [[3.7142, 0.0000, 0.0000], [-1.8571, 3.2166, 0.0000], [0.0000, 0.0000, 6.2304]], "species": ["Au", "Br", "Mg"], "frac_coords": [[0.0000, 0.0000, 0.9322], [0.6667, 0.3333, 0.4030], [0.3333, 0.6667, 0.6648]]}

***

9.
{"formula": "FeNi2Br", "functional": "PBE-GGA", "state": "optimized geometry", "magmom_total_mub_per_cell": 4.497, "formation_energy_uncorrected_ev_per_atom": 0.433, "spacegroup": "No. 12", "rho_g_cm3": 6.7, "lattice": [[3.8453, -0.0080, 0.0986], [2.5521, 2.8763, 0.0986], [1.0272, 0.4606, 5.6945]], "species": ["Br", "Fe", "Ni", "Ni"], "frac_coords": [[0.7500, 0.7500, 0.7500], [0.2500, 0.2500, 0.2500], [0.9885, 0.9885, 0.0638], [0.5115, 0.5115, 0.4362]]}

***

10.
{"formula": "CsCd2AgCl6", "functional": "PBE-GGA", "state": "optimized geometry", "magmom_total_mub_per_cell": 0.000, "formation_energy_uncorrected_ev_per_atom": -1.124, "spacegroup": "No. 15", "rho_g_cm3": 3.0, "lattice": [[7.7923, -0.0840, -0.0872], [2.3995, 9.8109, -0.3881], [2.3995, -0.7514, 9.7898]], "species": ["Cs", "Cs", "Cd", "Cd", "Cd", "Cd", "Ag", "Ag", "Cl", "Cl", "Cl", "Cl", "Cl", "Cl", "Cl", "Cl", "Cl", "Cl", "Cl", "Cl"], "frac_coords": [[0.2500, 0.8844, 0.1156], [0.7500, 0.1156, 0.8844], [0.3219, 0.7610, 0.6109], [0.1781, 0.3891, 0.2390], [0.6781, 0.2390, 0.3891], [0.8219, 0.6109, 0.7610], [0.2500, 0.2308, 0.7692], [0.7500, 0.7692, 0.2308], [0.2078, 0.9609, 0.7891], [0.2922, 0.2109, 0.0391], [0.7922, 0.0391, 0.2109], [0.7078, 0.7891, 0.9609], [0.4409, 0.8442, 0.3886], [0.0591, 0.6114, 0.1558], [0.5591, 0.1558, 0.6114], [0.9409, 0.3886, 0.8442], [0.0433, 0.6831, 0.5738], [0.4567, 0.4262, 0.3169], [0.9567, 0.3169, 0.4262], [0.5433, 0.5738, 0.6831]]}

***

11.
{"formula": "La2Nd5Dy12", "functional": "PBE-GGA", "state": "optimized geometry", "magmom_total_mub_per_cell": 0.000, "spacegroup": "No. 12", "formation_energy_mev_per_atom": 132, "rho_g_cm3": 7.6, "lattice": [[9.3694, 0.0000, 0.0000], [-4.6847, 11.4113, -1.8046], [0.0000, -5.3691, 6.8605]], "species": ["La", "La", "Nd", "Nd", "Nd", "Nd", "Nd", "Dy", "Dy", "Dy", "Dy", "Dy", "Dy", "Dy", "Dy", "Dy", "Dy", "Dy", "Dy"], "frac_coords": [[0.6778, 0.0000, 0.0000], [0.3222, 0.0000, 0.0000], [0.2950, 0.5900, 0.6072], [0.2300, 0.4601, 0.8874], [0.0000, 0.0000, 0.5000], [0.7700, 0.5399, 0.1126], [0.7050, 0.4100, 0.3928], [0.0803, 0.1606, 0.2834], [0.0274, 0.6994, 0.9414], [0.6720, 0.6994, 0.9414], [0.1826, 0.7432, 0.4032], [0.5606, 0.7432, 0.4032], [0.5585, 0.1170, 0.7820], [0.4415, 0.8830, 0.2180], [0.8174, 0.2568, 0.5968], [0.4394, 0.2568, 0.5968], [0.9726, 0.3006, 0.0586], [0.3280, 0.3006, 0.0586], [0.9197, 0.8394, 0.7166]]}

***

12.
{"formula": "CuNiAg3", "functional": "PBE-GGA", "state": "optimized geometry", "magmom_total_mub_per_cell": 0.000, "spacegroup": "No. 221", "formation_energy_mev_per_atom": 963, "rho_g_cm3": 6.9, "lattice": [[4.7415, 0.0000, 0.0000], [0.0000, 4.7415, 0.0000], [0.0000, 0.0000, 4.7415]], "species": ["Ni", "Cu", "Ag", "Ag", "Ag"], "frac_coords": [[0.0000, 0.0000, 0.0000], [0.5000, 0.5000, 0.5000], [0.0000, 0.5000, 0.0000], [0.0000, 0.0000, 0.5000], [0.5000, 0.0000, 0.0000]]}